No. 1
# Cs2CaHg2

Cs2CaHg2 after structural relaxation (PBE-GGA, Alexandria via LeMat-Bulk).

Structure (CIF):
```
data_Cs2CaHg2
_chemical_formula_sum 'Cs4 Ca2 Hg4'
_space_group_name_H-M_alt 'I 4/m m m'
_space_group_IT_number 139
_space_group_name_Hall '-I 4 2'
_cell_length_a 5.4037
_cell_length_b 5.4037
_cell_length_c 16.1508
_cell_angle_alpha 90.00
_cell_angle_beta 90.00
_cell_angle_gamma 90.00
loop_
_atom_site_label
_atom_site_fract_x
_atom_site_fract_y
_atom_site_fract_z
Cs1 0.0000 0.5000 0.2500
Ca1 0.0000 0.0000 0.0000
Hg1 0.0000 0.0000 0.4112
```

Properties
E_form	0.036	eV per atom
energy relative to the lowest polymorph listed for this composition	178	meV per atom
uncorrected energy	-8.27	eV/cell

***

No. 2
# TeMo2W

TeMo2W after structural relaxation (PBE-GGA, Alexandria via LeMat-Bulk).

Structure (CIF):
```
data_TeMo2W
_chemical_formula_sum 'Te2 Mo4 W2'
_space_group_name_H-M_alt 'I 4/m m m'
_space_group_IT_number 139
_space_group_name_Hall '-I 4 2'
_cell_length_a 3.9343
_cell_length_b 3.9343
_cell_length_c 8.8035
_cell_angle_alpha 90.00
_cell_angle_beta 90.00
_cell_angle_gamma 90.00
loop_
_atom_site_label
_atom_site_fract_x
_atom_site_fract_y
_atom_site_fract_z
Te1 0.0000 0.0000 0.0000
Mo1 0.0000 0.5000 0.2500
W1 0.0000 0.0000 0.5000
```

Properties
formation energy from raw total energies	0.5996	eV per atom
uncorrected energy	-70.72	eV/cell

***

No. 3
# ScTe2Ir

ScTe2Ir after structural relaxation (PBE-GGA, Alexandria via LeMat-Bulk).

Structure (CIF):
```
data_ScTe2Ir
_chemical_formula_sum 'Sc1 Te2 Ir1'
_space_group_name_H-M_alt 'P 1 m 1'
_space_group_IT_number 6
_space_group_name_Hall 'P -2y'
_cell_length_a 3.2654
_cell_length_b 4.0961
_cell_length_c 7.9938
_cell_angle_alpha 90.00
_cell_angle_beta 101.56
_cell_angle_gamma 90.00
loop_
_atom_site_label
_atom_site_fract_x
_atom_site_fract_y
_atom_site_fract_z
Sc1 0.0000 0.0000 0.0000
Te1 0.3317 0.0000 0.6562
Te2 0.6081 0.5000 0.2202
Ir1 0.4424 0.5000 0.8825
```

Properties
energy relative to the lowest polymorph listed for this composition	73	meV per atom
formation energy from raw total energies	-0.6099	eV per atom
uncorrected energy	-23.92	eV/cell

***

No. 4
# CePr2Tl4

CePr2Tl4 after structural relaxation (PBE-GGA, Alexandria via LeMat-Bulk).

Structure (CIF):
```
data_CePr2Tl4
_chemical_formula_sum 'Ce3 Pr6 Tl12'
_space_group_name_H-M_alt 'R -3 m'
_space_group_IT_number 166
_space_group_name_Hall '-R 3 2"'
_cell_length_a 4.9564
_cell_length_b 4.9564
_cell_length_c 31.7294
_cell_angle_alpha 90.00
_cell_angle_beta 90.00
_cell_angle_gamma 120.00
loop_
_atom_site_label
_atom_site_fract_x
_atom_site_fract_y
_atom_site_fract_z
Ce1 0.0000 0.0000 0.0000
Pr1 0.0000 0.0000 0.1281
Tl1 0.0000 0.0000 0.2485
Tl2 0.0000 0.0000 0.3821
```

Properties
E_form	-0.126	eV per atom
energy relative to the lowest polymorph listed for this composition	70	meV per atom
uncorrected energy	-77.53	eV/cell

***

No. 5
# SeI2Cl

SeI2Cl after structural relaxation (PBE-GGA, Alexandria via LeMat-Bulk).

Structure (CIF):
```
data_SeI2Cl
_chemical_formula_sum 'Se4 I8 Cl4'
_space_group_name_H-M_alt 'I -4 2 d'
_space_group_IT_number 122
_space_group_name_Hall 'I -4 2bw'
_cell_length_a 6.5788
_cell_length_b 6.5788
_cell_length_c 16.2009
_cell_angle_alpha 90.00
_cell_angle_beta 90.00
_cell_angle_gamma 90.00
loop_
_atom_site_label
_atom_site_fract_x
_atom_site_fract_y
_atom_site_fract_z
Se1 0.0000 0.0000 0.0000
I1 0.1517 0.2500 0.1250
Cl1 0.0000 0.0000 0.5000
```

Properties
energy relative to the lowest polymorph listed for this composition	424	meV per atom
formation energy from raw total energies	0.3235	eV per atom
uncorrected energy	-28.55	eV/cell

***

No. 6
# Sr2InH

Sr2InH after structural relaxation (PBE-GGA, Alexandria via LeMat-Bulk).

Structure (CIF):
```
data_Sr2InH
_chemical_formula_sum 'Sr6 In3 H3'
_space_group_name_H-M_alt 'R -3 m'
_space_group_IT_number 166
_space_group_name_Hall '-R 3 2"'
_cell_length_a 3.9188
_cell_length_b 3.9188
_cell_length_c 29.4679
_cell_angle_alpha 90.00
_cell_angle_beta 90.00
_cell_angle_gamma 120.00
loop_
_atom_site_label
_atom_site_fract_x
_atom_site_fract_y
_atom_site_fract_z
Sr1 0.0000 0.0000 0.1139
In1 0.0000 0.0000 0.0000
H1 0.0000 0.0000 0.5000
```

Properties
energy relative to the lowest polymorph listed for this composition	295	meV per atom
uncorrected energy	-28.22	eV/cell